[1]
DFT (GGA-PBE) results for an optimized crystal structure of InSn2Rh.

Properties
- Total DFT energy (no corrections): -71.30 eV/cell

a = 4.6340 Å, b = 4.6340 Å, c = 18.0013 Å
α = 90.00°, β = 90.00°, γ = 90.00°
Space group I-42d (No. 122)
Asymmetric unit:
In 0.0000 0.0000 0.0000
Sn 0.2022 0.2500 0.6250
Rh 0.0000 0.0000 0.5000

---

[2]
DFT (GGA-PBE) results for an optimized crystal structure of In3SnRh3.

Properties
- Total DFT energy (no corrections): -110.26 eV/cell

a = 9.0553 Å, b = 9.0553 Å, c = 5.6309 Å
α = 90.00°, β = 90.00°, γ = 120.00°
Space group R-3m (No. 166, hexagonal axes)
Asymmetric unit:
In 0.0000 0.5000 0.0000
Sn 0.0000 0.0000 0.0000
Rh 0.0000 0.5000 0.5000

---

[3]
DFT (GGA-PBE) results for an optimized crystal structure of In2SnRh.

Properties
- Total DFT energy (no corrections): -67.94 eV/cell

a = 8.9430 Å, b = 8.9430 Å, c = 5.1120 Å
α = 90.00°, β = 90.00°, γ = 90.00°
Space group I-42d (No. 122)
Asymmetric unit:
In 0.1557 0.2500 0.1250
Sn 0.0000 0.0000 0.5000
Rh 0.0000 0.0000 0.0000

---

[4]
DFT (GGA-PBE) results for an optimized crystal structure of In2SnRh3.

Properties
- Total DFT energy (no corrections): -33.91 eV/cell

a = 4.5898 Å, b = 4.5898 Å, c = 5.6203 Å
α = 90.00°, β = 90.00°, γ = 120.00°
Space group P-3m1 (No. 164)
Asymmetric unit:
In 0.3333 0.6667 0.1581
Sn 0.0000 0.0000 0.5000
Rh 0.0000 0.0000 0.0000
Rh 0.3333 0.6667 0.6557

---

[5]
DFT (GGA-PBE) results for an optimized crystal structure of InSn2Rh.

Properties
- Total DFT energy (no corrections): -18.83 eV/cell

a = 3.2674 Å, b = 3.2674 Å, c = 8.4044 Å
α = 90.00°, β = 90.00°, γ = 90.00°
Space group P4/mmm (No. 123)
Asymmetric unit:
In 0.0000 0.0000 0.0000
Sn 0.5000 0.5000 0.3039
Rh 0.0000 0.0000 0.5000

---

[6]
DFT (GGA-PBE) results for an optimized crystal structure of In2Sn4Rh.

Properties
- Total DFT energy (no corrections): -56.42 eV/cell

a = 4.9787 Å, b = 4.9787 Å, c = 16.9042 Å
α = 90.00°, β = 90.00°, γ = 90.00°
Space group I4/mmm (No. 139)
Asymmetric unit:
In 0.0000 0.0000 0.1578
Sn 0.0000 0.0000 0.3392
Sn 0.0000 0.5000 0.0000
Rh 0.0000 0.0000 0.5000

---

[7]
DFT (GGA-PBE) results for an optimized crystal structure of InSnRh4.

Properties
- Total DFT energy (no corrections): -71.31 eV/cell
- Distance to the lowest polymorph of the same formula: 235 meV per atom

a = 6.0799 Å, b = 6.0799 Å, c = 6.1419 Å
α = 90.00°, β = 90.11°, γ = 90.00°
Space group C2/m (No. 12)
Asymmetric unit:
In 0.0000 0.0000 0.0000
Sn 0.0000 0.5000 0.5000
Rh 0.2501 0.2504 0.2544

---

[8]
DFT (GGA-PBE) results for an optimized crystal structure of In4Sn2Rh.

Properties
- Total DFT energy (no corrections): -51.26 eV/cell

a = 5.1107 Å, b = 5.1107 Å, c = 15.6731 Å
α = 90.00°, β = 90.00°, γ = 90.00°
Space group I4/mmm (No. 139)
Asymmetric unit:
In 0.0000 0.0000 0.1680
In 0.0000 0.5000 0.0000
Sn 0.0000 0.0000 0.3514
Rh 0.0000 0.0000 0.0000

---

[9]
DFT (GGA-PBE) results for an optimized crystal structure of In2SnRh4.

Properties
- Total DFT energy (no corrections): -80.50 eV/cell

a = 6.3360 Å, b = 6.3360 Å, c = 6.2906 Å
α = 90.00°, β = 90.00°, γ = 90.00°
Space group I4/mmm (No. 139)
Asymmetric unit:
In 0.0000 0.5000 0.0000
Sn 0.0000 0.0000 0.0000
Rh 0.2500 0.2500 0.2500

---

[10]
DFT (GGA-PBE) results for an optimized crystal structure of InSn2Rh2.

Properties
- Total DFT energy (no corrections): -53.87 eV/cell

a = 7.4484 Å, b = 7.4484 Å, c = 3.4657 Å
α = 90.00°, β = 90.00°, γ = 90.00°
Space group P4/mbm (No. 127)
Asymmetric unit:
In 0.0000 0.0000 0.0000
Sn 0.1516 0.3484 0.5000
Rh 0.1457 0.6457 0.0000

---

[11]
DFT (GGA-PBE) results for an optimized crystal structure of InSn3Rh3.

Properties
- Total DFT energy (no corrections): -154.29 eV/cell

a = 8.0877 Å, b = 8.0877 Å, c = 8.0877 Å
α = 90.00°, β = 90.00°, γ = 90.00°
Space group P2_13 (No. 198)
Asymmetric unit:
In 0.0590 0.4410 0.5589
Sn 0.1105 0.6105 0.8895
Sn 0.1587 0.1587 0.1587
Sn 0.2010 0.7990 0.2990
Rh 0.0151 0.7919 0.6038

---

[12]
DFT (GGA-PBE) results for an optimized crystal structure of In2Sn2Rh.

Properties
- Total DFT energy (no corrections): -41.56 eV/cell

a = 6.9636 Å, b = 6.9636 Å, c = 5.1075 Å
α = 90.00°, β = 90.00°, γ = 90.00°
Space group P4/mbm (No. 127)
Asymmetric unit:
In 0.1695 0.3305 0.0000
Sn 0.1541 0.6541 0.5000
Rh 0.0000 0.0000 0.5000

---

[13]
DFT (GGA-PBE) results for an optimized crystal structure of InSn2Rh.

Properties
- Total DFT energy (no corrections): -55.88 eV/cell

a = 3.3986 Å, b = 3.3986 Å, c = 28.6744 Å
α = 90.00°, β = 90.00°, γ = 120.00°
Space group R-3m (No. 166, hexagonal axes)
Asymmetric unit:
In 0.0000 0.0000 0.0000
Sn 0.0000 0.0000 0.1020
Rh 0.0000 0.0000 0.5000

---

[14]
DFT (GGA-PBE) results for an optimized crystal structure of In2SnRh.

Properties
- Total DFT energy (no corrections): -46.25 eV/cell

a = 3.1427 Å, b = 3.1427 Å, c = 33.1760 Å
α = 90.00°, β = 90.00°, γ = 120.00°
Space group R-3m (No. 166, hexagonal axes)
Asymmetric unit:
In 0.0000 0.0000 0.0784
Sn 0.0000 0.0000 0.5000
Rh 0.0000 0.0000 0.0000

---

[15]
DFT (GGA-PBE) results for an optimized crystal structure of InSn2Rh2.

Properties
- Total DFT energy (no corrections): -52.67 eV/cell

a = 8.0865 Å, b = 8.0865 Å, c = 3.0098 Å
α = 90.00°, β = 90.00°, γ = 90.00°
Space group P4/mbm (No. 127)
Asymmetric unit:
In 0.0000 0.0000 0.0000
Sn 0.1479 0.3521 0.0000
Rh 0.1433 0.6433 0.5000

---

[16]
DFT (GGA-PBE) results for an optimized crystal structure of InSn2Rh2.

Properties
- Total DFT energy (no corrections): -54.88 eV/cell

a = 4.4564 Å, b = 4.5878 Å, c = 9.7797 Å
α = 90.00°, β = 90.00°, γ = 90.00°
Space group Pmmn (No. 59, origin choice 2)
Asymmetric unit:
In 0.2500 0.2500 0.1766
Sn 0.2500 0.2500 0.4957
Sn 0.2500 0.2500 0.8291
Rh 0.2500 0.7500 0.0066
Rh 0.2500 0.7500 0.3338

---

[17]
DFT (GGA-PBE) results for an optimized crystal structure of In4SnRh5.

Properties
- Total DFT energy (no corrections): -55.80 eV/cell

a = 3.1554 Å, b = 3.1554 Å, c = 17.1279 Å
α = 90.00°, β = 90.00°, γ = 90.00°
Space group P4/mmm (No. 123)
Asymmetric unit:
In 0.0000 0.0000 0.0991
In 0.0000 0.0000 0.2981
Sn 0.0000 0.0000 0.5000
Rh 0.5000 0.5000 0.0000
Rh 0.5000 0.5000 0.1985
Rh 0.5000 0.5000 0.4027

---

[18]
DFT (GGA-PBE) results for an optimized crystal structure of In2SnRh.

Properties
- Total DFT energy (no corrections): -71.05 eV/cell

a = 3.8749 Å, b = 9.7049 Å, c = 9.1686 Å
α = 90.00°, β = 90.00°, γ = 90.00°
Space group Cmcm (No. 63)
Asymmetric unit:
In 0.0000 0.1400 0.0481
Sn 0.0000 0.4311 0.2500
Rh 0.0000 0.2761 0.7500

---

[19]
DFT (GGA-PBE) results for an optimized crystal structure of Sr2InSn2Rh5.

Properties
- Total DFT energy (no corrections): -109.52 eV/cell

a = 10.6067 Å, b = 10.6067 Å, c = 3.6166 Å
α = 90.00°, β = 90.00°, γ = 90.00°
Space group P4/mbm (No. 127)
Asymmetric unit:
Sr 0.1717 0.3283 0.0000
In 0.0000 0.0000 0.0000
Sn 0.1279 0.6279 0.0000
Rh 0.0000 0.5000 0.5000
Rh 0.0630 0.8010 0.5000

---

[20]
DFT (GGA-PBE) results for an optimized crystal structure of Sr2InSn4Rh3.

Properties
- Total DFT energy (no corrections): -49.40 eV/cell

a = 4.5777 Å, b = 4.5777 Å, c = 11.4304 Å
α = 90.00°, β = 90.00°, γ = 90.00°
Space group P-4m2 (No. 115)
Asymmetric unit:
Sr 0.0000 0.5000 0.2426
In 0.0000 0.0000 0.5000
Sn 0.0000 0.0000 0.0000
Sn 0.0000 0.5000 0.6472
Sn 0.5000 0.5000 0.0000
Rh 0.0000 0.5000 0.8782
Rh 0.5000 0.5000 0.5000

---

[21]
DFT (GGA-PBE) results for an optimized crystal structure of Sr2In3SnRh4.

Properties
- Total DFT energy (no corrections): -49.76 eV/cell

a = 4.6955 Å, b = 4.6955 Å, c = 10.4671 Å
α = 90.00°, β = 90.00°, γ = 90.00°
Space group P-4m2 (No. 115)
Asymmetric unit:
Sr 0.0000 0.5000 0.2306
In 0.0000 0.5000 0.8761
In 0.5000 0.5000 0.5000
Sn 0.0000 0.0000 0.5000
Rh 0.0000 0.0000 0.0000
Rh 0.0000 0.5000 0.6216
Rh 0.5000 0.5000 0.0000

---

[22]
DFT (GGA-PBE) results for an optimized crystal structure of Sr2InSnRh.

Properties
- Total DFT energy (no corrections): -19.18 eV/cell

a = 5.7586 Å, b = 5.7586 Å, c = 5.0952 Å
α = 90.00°, β = 90.00°, γ = 90.00°
Space group P4/mmm (No. 123)
Asymmetric unit:
Sr 0.0000 0.5000 0.0000
In 0.0000 0.0000 0.5000
Sn 0.5000 0.5000 0.5000
Rh 0.5000 0.5000 0.0000

---

[23]
DFT (GGA-PBE) results for an optimized crystal structure of SrIn2SnRh2.

Properties
- Total DFT energy (no corrections): -27.28 eV/cell

a = 4.9504 Å, b = 4.9504 Å, c = 6.2449 Å
α = 90.00°, β = 90.00°, γ = 90.00°
Space group P4/mmm (No. 123)
Asymmetric unit:
Sr 0.0000 0.0000 0.0000
In 0.5000 0.5000 0.2513
Sn 0.0000 0.0000 0.5000
Rh 0.0000 0.5000 0.5000

---

| no. | total magnetization (μB/f.u.) | ΔH_f (0 K) (eV per atom) |
| --- | --- | --- |
| 1 | 0.0 | 0.0676 |
| 2 | 0.0 | -0.3542 |
| 3 | 0.0 | -0.0383 |
| 4 | 0.0 | -0.3956 |
| 5 | 0.0 | -0.1842 |
| 6 | 0.0 | 0.0903 |
| 7 | 0.0 | 0.0823 |
| 8 | 0.0 | 0.0972 |
| 9 | 0.0 | -0.1948 |
| 10 | 0.0 | -0.2972 |
| 11 | 0.0 | -0.2532 |
| 12 | 0.0 | 0.0105 |
| 13 | 0.0 | -0.1327 |
| 14 | 0.0 | 0.3536 |
| 15 | 0.0 | -0.1777 |
| 16 | 0.0 | -0.3981 |
| 17 | 0.0 | -0.4091 |
| 18 | 0.0 | -0.2330 |
| 19 | 0.0 | -0.3894 |
| 20 | 0.0 | -0.5235 |
| 21 | 0.0 | -0.4770 |
| 22 | 0.0 | -0.3437 |
| 23 | 0.0 | -0.2360 |